PrErTmLu: relaxed, GGA-PBE.

Properties
Magnetic moment in μB per cell: 0.0
Formation energy in meV/atom: 106
Crystal system: cubic

Cell and atoms, written as POSCAR:
```
PrErTmLu
1.0
-2.630 -4.990 0.178
-0.338 -2.839 4.866
-4.961 -0.482 2.647
Pr Lu Tm Er
1 1 1 1
Direct
0.250 0.250 0.250
0.000 0.000 0.000
0.500 0.500 0.500
0.750 0.750 0.750
```